1.
A plane-wave DFT calculation with PBE was carried out for a relaxed YTm2Mn crystal.

a = 3.3767 Å, b = 3.3767 Å, c = 33.5457 Å
α = 90.00°, β = 90.00°, γ = 120.00°
Sites, in units of the cell vectors:
1 Y 0.0000 0.0000 0.0000
2 Y 0.3333 0.6667 0.6667
3 Y 0.6667 0.3333 0.3333
4 Tm 0.0000 0.0000 0.4185
5 Tm 0.0000 0.0000 0.5815
6 Tm 0.3333 0.6667 0.0851
7 Tm 0.3333 0.6667 0.2482
8 Tm 0.6667 0.3333 0.7518
9 Tm 0.6667 0.3333 0.9149
10 Mn 0.0000 0.0000 0.5000
11 Mn 0.3333 0.6667 0.1667
12 Mn 0.6667 0.3333 0.8333

Computed properties:
Its energy of formation from the pure elements is 0.518 eV/atom. The space-group type is R-3m. The total energy is -5.63 eV per atom.

---

2.
A plane-wave DFT calculation with PBE was carried out for a relaxed ZnCrTe crystal.

a = 4.3323 Å, b = 12.1183 Å, c = 4.7708 Å
α = 90.00°, β = 90.00°, γ = 90.00°
Sites, in units of the cell vectors:
1 Zn 0.0000 0.0000 0.0000
2 Zn 0.0000 0.5000 0.1785
3 Zn 0.5000 0.0000 0.6785
4 Zn 0.5000 0.5000 0.5000
5 Cr 0.0000 0.1141 0.4874
6 Cr 0.0000 0.8859 0.4874
7 Cr 0.5000 0.3859 0.9874
8 Cr 0.5000 0.6141 0.9874
9 Te 0.0000 0.3282 0.6754
10 Te 0.0000 0.6718 0.6754
11 Te 0.5000 0.1718 0.1754
12 Te 0.5000 0.8282 0.1754

Computed properties:
The space-group type is Imm2. The energy relative to the elements, uncorrected comes out at 0.115 eV per atom. The total energy is -4.56 eV per atom.

---

3.
A plane-wave DFT calculation with PBE was carried out for a relaxed CoTcIr2 crystal.

a = 6.0623 Å, b = 6.0623 Å, c = 6.0623 Å
α = 90.00°, β = 90.00°, γ = 90.00°
Sites, in units of the cell vectors:
1 Co 0.0000 0.0000 0.0000
2 Co 0.0000 0.5000 0.5000
3 Co 0.5000 0.0000 0.5000
4 Co 0.5000 0.5000 0.0000
5 Tc 0.0000 0.0000 0.5000
6 Tc 0.0000 0.5000 0.0000
7 Tc 0.5000 0.0000 0.0000
8 Tc 0.5000 0.5000 0.5000
9 Ir 0.2500 0.2500 0.2500
10 Ir 0.2500 0.2500 0.7500
11 Ir 0.2500 0.7500 0.2500
12 Ir 0.2500 0.7500 0.7500
13 Ir 0.7500 0.2500 0.2500
14 Ir 0.7500 0.2500 0.7500
15 Ir 0.7500 0.7500 0.2500
16 Ir 0.7500 0.7500 0.7500

Computed properties:
Its energy of formation from the pure elements is 0.383 eV/atom. The space-group type is Fm-3m. The total energy is -8.42 eV per atom.

---

4.
A plane-wave DFT calculation with PBE was carried out for a relaxed TbGaRh2 crystal.

a = 4.3677 Å, b = 4.3677 Å, c = 3.5428 Å
α = 90.00°, β = 90.00°, γ = 90.00°
Sites, in units of the cell vectors:
1 Tb 0.0000 0.0000 0.0000
2 Ga 0.5000 0.5000 0.0000
3 Rh 0.0000 0.5000 0.5000
4 Rh 0.5000 0.0000 0.5000

Computed properties:
Its energy of formation from the pure elements is -0.798 eV/atom. The space-group type is P4/mmm. The total energy is -6.39 eV per atom.

---

5.
A plane-wave DFT calculation with PBE was carried out for a relaxed InCo2MoN crystal.

a = 3.9367 Å, b = 3.9367 Å, c = 4.0930 Å
α = 90.00°, β = 90.00°, γ = 90.00°
Sites, in units of the cell vectors:
1 In 0.0000 0.0000 0.0000
2 Co 0.0000 0.5000 0.5000
3 Co 0.5000 0.0000 0.5000
4 Mo 0.5000 0.5000 0.0000
5 N 0.5000 0.5000 0.5000

Computed properties:
The space-group type is P4/mmm. The energy relative to the elements, uncorrected comes out at -0.020 eV per atom. The total energy is -7.24 eV per atom.

---

6.
A plane-wave DFT calculation with PBE was carried out for a relaxed Sr2ZnF crystal.

a = 7.3994 Å, b = 7.3994 Å, c = 8.7412 Å
α = 90.00°, β = 90.00°, γ = 90.00°
Sites, in units of the cell vectors:
1 Sr 0.1763 0.2500 0.1250
2 Sr 0.2500 0.6763 0.3750
3 Sr 0.2500 0.8237 0.8750
4 Sr 0.3237 0.2500 0.6250
5 Sr 0.6763 0.7500 0.6250
6 Sr 0.7500 0.1763 0.8750
7 Sr 0.7500 0.3237 0.3750
8 Sr 0.8237 0.7500 0.1250
9 Zn 0.0000 0.0000 0.5000
10 Zn 0.0000 0.5000 0.7500
11 Zn 0.5000 0.0000 0.2500
12 Zn 0.5000 0.5000 0.0000
13 F 0.0000 0.0000 0.0000
14 F 0.0000 0.5000 0.2500
15 F 0.5000 0.0000 0.7500
16 F 0.5000 0.5000 0.5000

Computed properties:
The space-group type is I-42d. The energy relative to the elements, uncorrected comes out at -1.378 eV per atom. The total energy is -3.01 eV per atom.